A relaxed structure of CuSe2BrO. Source: the Alexandria database, functional GGA-PBE.

Unit cell a=4.0456 b=4.0456 c=7.1452 alpha=90.00 beta=90.00 gamma=90.00
With the nearest neighbours (Å) after each atom.
Fractional positions:
Cu  0.0000  0.0000  0.0000  4 Br 2.86
Se  0.0000  0.5000  0.5000  2 O 2.02
Se  0.5000  0.0000  0.5000  2 O 2.02
Br  0.5000  0.5000  0.0000  4 Cu 2.86
O  0.5000  0.5000  0.5000  4 Se 2.02

Summary:
The value obtained for the electronic total energy is -3.102 eV per atom. The uncorrected formation energy is 0.44 eV per atom. Its energy above the lowest structure with this stoichiometry is 0 meV/atom.



A relaxed structure of CeTh3S4. Source: the Alexandria database, functional GGA-PBE.

Unit cell a=5.7090 b=5.7090 c=5.7090 alpha=90.00 beta=90.00 gamma=90.00
With the nearest neighbours (Å) after each atom.
Fractional positions:
Ce  0.0000  0.0000  0.0000  6 S 2.85
Th  0.0000  0.5000  0.5000  6 S 2.85
Th  0.5000  0.0000  0.5000  6 S 2.85
Th  0.5000  0.5000  0.0000  6 S 2.85
S  0.0000  0.0000  0.5000  4 Th 2.85, 2 Ce 2.85
S  0.0000  0.5000  0.0000  4 Th 2.85, 2 Ce 2.85
S  0.5000  0.0000  0.0000  4 Th 2.85, 2 Ce 2.85
S  0.5000  0.5000  0.5000  6 Th 2.85

Summary:
The value obtained for the electronic total energy is -7.493 eV per atom. The uncorrected formation energy is -1.91 eV per atom.



A relaxed structure of Zr2TaSi. Source: the Alexandria database, functional GGA-PBE.

Unit cell a=3.5227 b=3.5227 c=6.1284 alpha=90.00 beta=90.00 gamma=90.00
With the nearest neighbours (Å) after each atom.
Fractional positions:
Zr  0.0000  0.0000  0.2337  1 Zr 2.86, 4 Si 2.87, 4 Ta 2.98
Zr  0.0000  0.0000  0.7663  1 Zr 2.86, 4 Si 2.87, 4 Ta 2.98
Ta  0.5000  0.5000  0.5000  8 Zr 2.98, 2 Si 3.06
Si  0.5000  0.5000  0.0000  8 Zr 2.87, 2 Ta 3.06

Summary:
The value obtained for the electronic total energy is -8.925 eV per atom. The uncorrected formation energy is -0.33 eV per atom.



A relaxed structure of Li3BiPd. Source: the Alexandria database, functional GGA-PBE.

Unit cell a=4.8015 b=7.3254 c=5.3672 alpha=90.00 beta=90.00 gamma=90.00
With the nearest neighbours (Å) after each atom.
Fractional positions:
Li  0.2500  0.0624  0.2061  1 Pd 2.51, 1 Li 2.75
Li  0.2500  0.4376  0.2061  1 Pd 2.51, 1 Li 2.75
Li  0.2500  0.7500  0.5470  1 Pd 2.52, 2 Bi 2.82
Li  0.7500  0.2500  0.4530  1 Pd 2.52, 2 Bi 2.82
Li  0.7500  0.5624  0.7939  1 Pd 2.51, 1 Li 2.75
Li  0.7500  0.9376  0.7939  1 Pd 2.51, 1 Li 2.75
Bi  0.2500  0.2500  0.7279  2 Pd 2.77, 4 Li 2.82-2.91
Bi  0.7500  0.7500  0.2721  2 Pd 2.77, 4 Li 2.82-2.91
Pd  0.2500  0.7500  0.0162  3 Li 2.51-2.52, 2 Bi 2.77
Pd  0.7500  0.2500  0.9838  3 Li 2.51-2.52, 2 Bi 2.77

Summary:
For the energy of formation from the pure elements, the calculation gives -390.4 meV per atom. The value obtained for the electronic total energy is -3.353 eV per atom. Its energy above the lowest structure with this stoichiometry is 79 meV/atom.



- electronic total energy of number 4 (Li3BiPd)?
  -3.353 eV per atom



- What is the electronic total energy in the first record?
  -3.102 eV per atom



- What is the electronic total energy in the third record?
  -8.925 eV per atom